# 1
Y2Zn3Hg2 | PBE | relaxed

Properties
formation energy from the elements: -0.364 eV/atom
calculated volume: 21.39 A^3/atom
total magnetization: 0.000 μB per formula unit

abc: 4.526 5.802 6.662
angles: 109.90 90.00 112.96
Atoms (fractional coordinates):
Zn 0.415 0.830 0.585
Zn 0.500 0.000 0.000
Zn 0.585 0.170 0.415
Y 0.147 0.295 0.765
Y 0.853 0.705 0.235
Hg 0.843 0.687 0.754
Hg 0.157 0.313 0.246

=====

# 2
YZn3Hg3 | PBE | relaxed

Properties
formation energy from the elements: 0.329 eV/atom
calculated volume: 26.99 A^3/atom
total magnetization: 0.000 μB per formula unit

abc: 7.230 7.230 7.230
angles: 90.00 90.00 90.00
Atoms (fractional coordinates):
Hg 0.500 0.000 0.250
Hg 0.000 0.250 0.500
Hg 0.250 0.500 0.000
Hg 0.750 0.500 0.000
Hg 0.500 0.000 0.750
Hg 0.000 0.750 0.500
Zn 0.000 0.500 0.250
Zn 0.000 0.500 0.750
Zn 0.750 0.000 0.500
Zn 0.500 0.250 0.000
Zn 0.250 0.000 0.500
Zn 0.500 0.750 0.000
Y 0.000 0.000 0.000
Y 0.500 0.500 0.500

=====

# 3
YZnHg2 | PBE | relaxed

Properties
formation energy from the elements: -0.297 eV/atom
calculated volume: 22.55 A^3/atom
total magnetization: 0.000 μB per formula unit

abc: 4.847 3.570 10.577
angles: 99.72 90.00 90.00
Atoms (fractional coordinates):
Hg 0.750 0.463 0.926
Hg 0.750 0.725 0.451
Hg 0.250 0.537 0.074
Hg 0.250 0.275 0.549
Zn 0.250 0.664 0.328
Zn 0.750 0.336 0.672
Y 0.750 0.098 0.197
Y 0.250 0.902 0.803

=====

# 4
Y2ZnHg | PBE | relaxed

Properties
formation energy from the elements: -0.268 eV/atom
calculated volume: 26.87 A^3/atom
E above lowest polymorph: 172 meV per atom
total magnetization: 0.000 μB per formula unit

abc: 9.138 9.138 9.138
angles: 23.61 23.61 23.61
Atoms (fractional coordinates):
Y 0.997 0.997 0.997
Y 0.503 0.503 0.503
Zn 0.250 0.250 0.250
Hg 0.750 0.750 0.750

=====

# 5
YZnHg2 | PBE | relaxed

Properties
formation energy from the elements: -0.160 eV/atom
calculated volume: 24.51 A^3/atom
total magnetization: 0.000 μB per formula unit

abc: 7.922 7.922 6.414
angles: 51.87 51.87 90.00
Atoms (fractional coordinates):
Hg 0.586 0.125 0.250
Hg 0.375 0.414 0.750
Hg 0.875 0.836 0.750
Hg 0.164 0.625 0.250
Zn 0.500 0.500 0.000
Zn 0.250 0.750 0.500
Y 0.000 0.000 0.000
Y 0.750 0.250 0.500

=====

# 6
YZnHg2 | PBE | relaxed

Properties
formation energy from the elements: -0.006 eV/atom
calculated volume: 25.59 A^3/atom
total magnetization: 0.000 μB per formula unit

abc: 6.601 6.601 6.601
angles: 54.70 148.81 136.25
Atoms (fractional coordinates):
Hg 0.000 0.775 0.775
Hg 0.000 0.225 0.225
Y 0.000 0.500 0.500
Zn 0.000 0.000 0.000

=====

# 7
YZr2Hg2 | PBE | relaxed

Properties
formation energy from the elements: -0.100 eV/atom
calculated volume: 24.15 A^3/atom
E above lowest polymorph: 0 meV per atom
total magnetization: 0.000 μB per formula unit

abc: 8.274 8.274 3.528
angles: 90.00 90.00 90.00
Atoms (fractional coordinates):
Y 0.500 0.500 0.000
Y 0.000 0.000 0.000
Hg 0.367 0.867 0.000
Hg 0.867 0.633 0.000
Hg 0.133 0.367 0.000
Hg 0.633 0.133 0.000
Zr 0.834 0.334 0.500
Zr 0.166 0.666 0.500
Zr 0.334 0.166 0.500
Zr 0.666 0.834 0.500

=====

# 8
YZr3Hg | PBE | relaxed

Properties
formation energy from the elements: 0.788 eV/atom
calculated volume: 30.27 A^3/atom
E above lowest polymorph: 0 meV per atom
total magnetization: 0.000 μB per formula unit

abc: 5.329 5.329 5.329
angles: 90.00 90.00 90.00
Atoms (fractional coordinates):
Hg 0.000 0.000 0.000
Zr 0.000 0.000 0.500
Zr 0.000 0.500 0.000
Zr 0.500 0.000 0.000
Y 0.500 0.500 0.500

=====

> Number 8 is which compound?

YZr3Hg

=====

> What is the formula in the second record?

YZn3Hg3

=====

> Among the records above, which one has the lowest formation energy from the elements?

Y2Zn3Hg2

=====

> Which formula does entry 3 have?

YZnHg2